VASP calculation (PBE-GGA) on a geometry-optimized LiAg4Au structure.

abc: 4.103 5.058 5.811
angles: 107.66 90.00 113.93
Positions (direct):
Li  0.000  0.000  0.500
Au  0.000  0.000  0.000
Ag  0.666  0.332  0.335
Ag  0.334  0.668  0.665
Ag  0.335  0.671  0.173
Ag  0.665  0.329  0.827

Summary:
Relative energy among the computed polymorphs (eV per atom): 0.000
M_tot (μB/atom): 0.000
Energy relative to the elements (eV/atom): -0.128

VASP calculation (PBE-GGA) on a geometry-optimized Li3Ag3Au structure.

abc: 7.442 7.442 6.574
angles: 55.53 55.53 60.00
Positions (direct):
Ag  0.875  0.153  0.253
Ag  0.847  0.281  0.747
Ag  0.281  0.125  0.747
Ag  0.125  0.847  0.747
Ag  0.719  0.875  0.253
Ag  0.153  0.719  0.253
Li  0.692  0.990  0.779
Li  0.539  0.692  0.779
Li  0.990  0.539  0.779
Li  0.010  0.461  0.221
Li  0.461  0.308  0.221
Li  0.308  0.010  0.221
Au  0.402  0.402  0.795
Au  0.598  0.598  0.205

Summary:
Relative energy among the computed polymorphs (eV per atom): 0.013
M_tot (μB/atom): 0.000
Energy relative to the elements (eV/atom): -0.186

VASP calculation (PBE-GGA) on a geometry-optimized LiAg7Au2 structure.

abc: 4.476 7.844 7.844
angles: 122.18 90.00 90.00
Positions (direct):
Li  0.000  0.000  0.000
Ag  0.500  0.924  0.713
Ag  0.500  0.287  0.076
Ag  0.000  0.810  0.190
Ag  0.500  0.076  0.287
Ag  0.500  0.500  0.500
Ag  0.000  0.190  0.810
Ag  0.500  0.713  0.924
Au  0.500  0.701  0.299
Au  0.500  0.299  0.701

Summary:
M_tot (μB/atom): 0.000
Energy relative to the elements (eV/atom): 0.216

VASP calculation (PBE-GGA) on a geometry-optimized Li3AgAu2 structure.

abc: 3.240 3.240 8.853
angles: 90.00 90.00 90.00
Positions (direct):
Li  0.000  0.000  0.675
Li  0.000  0.000  0.000
Li  0.000  0.000  0.325
Au  0.500  0.500  0.167
Au  0.500  0.500  0.833
Ag  0.500  0.500  0.500

Summary:
M_tot (μB/atom): 0.000
Energy relative to the elements (eV/atom): -0.441

What did the third record say?
VASP calculation (PBE-GGA) on a geometry-optimized LiAg7Au2 structure.

abc: 4.476 7.844 7.844
angles: 122.18 90.00 90.00
Positions (direct):
Li  0.000  0.000  0.000
Ag  0.500  0.924  0.713
Ag  0.500  0.287  0.076
Ag  0.000  0.810  0.190
Ag  0.500  0.076  0.287
Ag  0.500  0.500  0.500
Ag  0.000  0.190  0.810
Ag  0.500  0.713  0.924
Au  0.500  0.701  0.299
Au  0.500  0.299  0.701

Summary:
M_tot (μB/atom): 0.000
Energy relative to the elements (eV/atom): 0.216